1.
Computed, not measured: crystalline DyTmZnCd at its relaxed geometry at the PBE level of DFT.

Geometry as POSCAR:
```
DyTmZnCd
1.0
3.5666 0.0000 0.0000
0.0000 3.5666 0.0000
0.0000 0.0000 7.5248
Dy Cd Zn Tm
1 1 1 1
Direct
0.5000 0.5000 0.1264
0.0000 0.0000 0.8510
0.0000 0.0000 0.3636
0.5000 0.5000 0.5870
```

## Properties
The total magnetic moment is 0.002 μB per cell. As for the energy relative to the elements: -332.0 meV per atom. As for the total energy: -3.1477 eV per atom. The calculation puts the energy above the lowest structure with this stoichiometry at 0.0000 eV per atom.



2.
Computed, not measured: crystalline Dy2VCd at its relaxed geometry at the PBE level of DFT.

Geometry as POSCAR:
```
Dy2VCd
1.0
3.6161 0.0000 0.0000
0.0000 3.6161 0.0000
0.0000 0.0000 7.5387
Dy Cd V
2 1 1
Direct
0.0000 0.0000 0.2290
0.0000 0.0000 0.7710
0.5000 0.5000 0.5000
0.5000 0.5000 0.0000
```

## Properties
The total magnetic moment is 3.079 μB per cell. As for the energy relative to the elements: 13.1 meV per atom. As for the total energy: -4.7964 eV per atom. The calculation puts the energy above the lowest structure with this stoichiometry at 0.0000 eV per atom.



3.
Computed, not measured: crystalline Dy2VCd at its relaxed geometry at the PBE level of DFT.

Geometry as POSCAR:
```
Dy2VCd
1.0
-0.1777 1.5549 2.8731
0.1947 -1.6945 2.7919
11.0115 1.2150 1.8864
Dy V Cd
2 1 1
Direct
0.0852 0.0852 0.7443
0.9148 0.9148 0.2557
0.0000 0.0000 0.0000
0.5000 0.5000 0.5000
```

## Properties
The total magnetic moment is 3.208 μB per cell. As for the energy relative to the elements: 550.5 meV per atom. As for the total energy: -4.2590 eV per atom. The calculation puts the energy above the lowest structure with this stoichiometry at 0.5374 eV per atom.



4.
Computed, not measured: crystalline DyYCd at its relaxed geometry at the PBE level of DFT.

Geometry as POSCAR:
```
DyYCd
1.0
-3.1477 -1.1040 4.9694
-1.5364 -2.5785 -1.5460
5.6174 -6.7871 2.0504
Cd Y Dy
2 2 2
Direct
0.7500 0.8414 0.3171
0.2500 0.1586 0.6829
0.7500 0.6620 0.6760
0.2500 0.3380 0.3240
0.5000 0.0000 0.0000
0.0000 0.0000 0.0000
```

## Properties
The total magnetic moment is 0.000 μB per cell. As for the energy relative to the elements: 76.0 meV per atom. As for the total energy: -3.9178 eV per atom. The calculation puts the energy above the lowest structure with this stoichiometry at 0.2797 eV per atom.



5.
Computed, not measured: crystalline DyY3Cd2 at its relaxed geometry at the PBE level of DFT.

Geometry as POSCAR:
```
DyY3Cd2
1.0
5.2335 0.0000 0.0000
0.0000 6.9072 0.0000
0.0000 0.0000 9.4468
Y Dy Cd
6 2 4
Direct
0.0000 0.4808 0.9542
0.5000 0.6784 0.1784
0.0000 0.8214 0.6767
0.0000 0.9808 0.0458
0.0000 0.3214 0.3233
0.5000 0.1784 0.8216
0.5000 0.0192 0.4534
0.5000 0.5192 0.5466
0.5000 0.7251 0.8514
0.0000 0.7751 0.3507
0.5000 0.2251 0.1486
0.0000 0.2751 0.6493
```

## Properties
The total magnetic moment is 0.000 μB per cell. As for the energy relative to the elements: -233.8 meV per atom. As for the total energy: -4.5379 eV per atom. The calculation puts the energy above the lowest structure with this stoichiometry at 0.0000 eV per atom.



6.
Computed, not measured: crystalline Dy2YCd at its relaxed geometry at the PBE level of DFT.

Geometry as POSCAR:
```
Dy2YCd
1.0
3.6292 0.0000 -1.1297
-0.6858 4.8409 -2.2032
0.0628 0.0386 6.5959
Y Cd Dy
1 1 2
Direct
0.0000 0.5000 0.0000
0.5000 0.0000 0.0000
0.7769 0.7769 0.5538
0.2231 0.2231 0.4462
```

## Properties
The total magnetic moment is 0.000 μB per cell. As for the energy relative to the elements: -156.9 meV per atom. As for the total energy: -4.3027 eV per atom. The calculation puts the energy above the lowest structure with this stoichiometry at 0.0000 eV per atom.